The following is a GGA-PBE calculation of a geometry-optimized Cu7Sb2PtAu2 structure, from Alexandria.

Summary:
total magnetic moment = 0.000 μB/f.u.
density of states at the Fermi level = 10.60 states/eV per cell
uncorrected formation energy = 0.05 eV per atom

a b c (Å): 5.2370 5.2372 14.4161
angles (deg): 90.00 99.81 90.00
Last column: nearest neighbours and their distance in Å.
Space group C2/m (No. 12)
Inequivalent atoms, fractional coordinates:
Cu (0.0000, 0.0000, 0.0000)  4 Pt 2.62, 8 Cu 2.63
Cu (0.1883, 0.2498, 0.8683)  6 Cu 2.62-2.63, 2 Pt 2.63, 2 Au 2.67
Cu (0.2208, 0.0000, 0.4584)  1 Sb 2.58, 1 Au 2.72, 3 Cu 2.78-2.88
Sb (0.1715, 0.5000, 0.3604)  1 Cu 2.58
Pt (0.0000, 0.5000, 0.0000)  12 Cu 2.62-2.63
Au (0.1264, 0.0000, 0.2672)  5 Cu 2.67-2.72, 4 Sb 2.93-2.94

The following is a GGA-PBE calculation of a geometry-optimized ScCuPtAu structure, from Alexandria.

Summary:
total magnetic moment = 0.000 μB/f.u.
density of states at the Fermi level = 2.92 states/eV per cell
ΔH_f (0 K) = -2.72 eV/f.u.

a b c (Å): 4.0101 4.0101 8.0699
angles (deg): 90.00 90.00 90.00
Last column: nearest neighbours and their distance in Å.
Space group I-4m2 (No. 119)
Inequivalent atoms, fractional coordinates:
Sc (0.0000, 0.0000, 0.0000)  4 Cu 2.84, 4 Pt 2.84, 4 Au 2.84
Cu (0.0000, 0.0000, 0.5000)  4 Sc 2.84, 4 Pt 2.84, 4 Au 2.84
Pt (0.0000, 0.5000, 0.7500)  4 Au 2.84, 4 Cu 2.84, 4 Sc 2.84
Au (0.0000, 0.5000, 0.2500)  4 Pt 2.84, 4 Sc 2.84, 4 Cu 2.84

The following is a GGA-PBE calculation of a geometry-optimized Sr2CuPtAu6 structure, from Alexandria.

Summary:
total magnetic moment = 0.000 μB/f.u.
density of states at the Fermi level = 4.86 states/eV per cell
ΔH_f (0 K) = -4.06 eV/f.u.

a b c (Å): 10.7917 7.3690 7.1664
angles (deg): 90.00 121.76 90.00
Last column: nearest neighbours and their distance in Å.
Space group C2/m (No. 12)
Inequivalent atoms, fractional coordinates:
Sr (0.2173, 0.0000, 0.3388)  1 Pt 3.11, 7 Au 3.26-3.41
Cu (0.0000, 0.5000, 0.0000)  6 Au 2.53-2.59
Pt (0.0000, 0.0000, 0.5000)  6 Au 2.66-2.70
Au (0.0361, 0.3059, 0.7309)  1 Cu 2.59, 1 Pt 2.70, 2 Au 2.86
Au (0.2376, 0.0000, 0.9003)  1 Cu 2.53, 1 Pt 2.66

The following is a GGA-PBE calculation of a geometry-optimized TbCuPtAu structure, from Alexandria.

Summary:
total magnetic moment = 0.000 μB/f.u.
density of states at the Fermi level = 5.52 states/eV per cell
ΔH_f (0 K) = -2.37 eV/f.u.

a b c (Å): 6.7001 6.7001 6.7001
angles (deg): 90.00 90.00 90.00
Last column: nearest neighbours and their distance in Å.
Space group F-43m (No. 216)
Inequivalent atoms, fractional coordinates:
Tb (0.0000, 0.0000, 0.0000)  4 Pt 2.90, 4 Au 2.90
Cu (0.0000, 0.0000, 0.5000)  4 Pt 2.90, 4 Au 2.90
Pt (0.2500, 0.2500, 0.7500)  4 Tb 2.90, 4 Cu 2.90
Au (0.2500, 0.2500, 0.2500)  4 Tb 2.90, 4 Cu 2.90

The following is a GGA-PBE calculation of a geometry-optimized ThCuPtAu structure, from Alexandria.

Summary:
total magnetic moment = 0.000 μB/f.u.
density of states at the Fermi level = 11.68 states/eV per cell
ΔH_f (0 K) = -2.24 eV/f.u.

a b c (Å): 6.9050 6.9050 6.9050
angles (deg): 90.00 90.00 90.00
Last column: nearest neighbours and their distance in Å.
Space group F-43m (No. 216)
Inequivalent atoms, fractional coordinates:
Th (0.0000, 0.0000, 0.0000)  4 Pt 2.99, 4 Au 2.99
Cu (0.0000, 0.0000, 0.5000)  4 Pt 2.99, 4 Au 2.99
Pt (0.2500, 0.2500, 0.7500)  4 Th 2.99, 4 Cu 2.99
Au (0.2500, 0.2500, 0.2500)  4 Th 2.99, 4 Cu 2.99

The following is a GGA-PBE calculation of a geometry-optimized TiCuPtAu structure, from Alexandria.

Summary:
total magnetic moment = 0.000 μB/f.u.
density of states at the Fermi level = 3.67 states/eV per cell
ΔH_f (0 K) = -1.88 eV/f.u.

a b c (Å): 3.9664 3.9664 7.7338
angles (deg): 90.00 90.00 90.00
Last column: nearest neighbours and their distance in Å.
Space group I-4m2 (No. 119)
Inequivalent atoms, fractional coordinates:
Ti (0.0000, 0.0000, 0.0000)  4 Pt 2.77, 4 Au 2.77, 4 Cu 2.80
Cu (0.0000, 0.0000, 0.5000)  4 Pt 2.77, 4 Au 2.77, 4 Ti 2.80
Pt (0.0000, 0.5000, 0.7500)  4 Cu 2.77, 4 Ti 2.77, 4 Au 2.80
Au (0.0000, 0.5000, 0.2500)  4 Cu 2.77, 4 Ti 2.77, 4 Pt 2.80

The following is a GGA-PBE calculation of a geometry-optimized Ti2Cu7PtAu2 structure, from Alexandria.

Summary:
total magnetic moment = 0.850 μB/f.u.
density of states at the Fermi level = 12.45 states/eV per cell
ΔH_f (0 K) = 0.38 eV/f.u.

a b c (Å): 4.9065 4.9063 15.1181
angles (deg): 90.00 99.25 90.00
Last column: nearest neighbours and their distance in Å.
Space group C2/m (No. 12)
Inequivalent atoms, fractional coordinates:
Ti (0.1375, 0.0000, 0.2766)  5 Cu 2.70-2.71, 4 Au 2.79
Cu (0.0000, 0.0000, 0.0000)  4 Pt 2.45, 8 Cu 2.69
Cu (0.1820, 0.2500, 0.8622)  6 Cu 2.45-2.69, 2 Pt 2.69, 2 Ti 2.70
Cu (0.2281, 0.0000, 0.4585)  5 Au 2.62-2.82, 1 Ti 2.71, 4 Cu 2.74-2.76
Pt (0.0000, 0.5000, 0.0000)  12 Cu 2.45-2.69
Au (0.1819, 0.5000, 0.3659)  5 Cu 2.62-2.82, 4 Ti 2.79

The following is a GGA-PBE calculation of a geometry-optimized TmCuPtAu structure, from Alexandria.

Summary:
total magnetic moment = 0.000 μB/f.u.
density of states at the Fermi level = 4.24 states/eV per cell
ΔH_f (0 K) = -2.58 eV/f.u.

a b c (Å): 6.6153 6.6153 6.6153
angles (deg): 90.00 90.00 90.00
Last column: nearest neighbours and their distance in Å.
Space group F-43m (No. 216)
Inequivalent atoms, fractional coordinates:
Tm (0.0000, 0.0000, 0.0000)  4 Pt 2.86, 4 Au 2.86
Cu (0.0000, 0.0000, 0.5000)  4 Pt 2.86, 4 Au 2.86
Pt (0.2500, 0.2500, 0.7500)  4 Tm 2.86, 4 Cu 2.86
Au (0.2500, 0.2500, 0.2500)  4 Tm 2.86, 4 Cu 2.86